No. 1
# Dy12Tm7Zr

Crystalline Dy12Tm7Zr at its relaxed geometry (PBE, Alexandria).

Cell lengths 11.3029, 11.3029, 11.3029 Å; angles 90.00, 90.00, 90.00 degrees
With the nearest neighbours (Å) after each atom.
Space group Im-3m (No. 229)
Unique sites:
Dy 0.0000 0.2205 0.2205 x24  2 Tm 2.86
Tm 0.0000 0.0000 0.5000 x6  12 Dy 4.02-4.47
Tm 0.2500 0.2500 0.2500 x8  6 Dy 2.86
Zr 0.0000 0.0000 0.0000 x2  12 Dy 3.52

- Polymorph energy (0 for the lowest one): 10.649 eV per formula unit
- Energy relative to the elements: 0.797 eV per atom



No. 2
# Cd2In2Ga2Hg

Crystalline Cd2In2Ga2Hg at its relaxed geometry (PBE, Alexandria).

Cell lengths 11.1675, 4.7032, 8.5734 Å; angles 90.00, 130.14, 90.00 degrees
With the nearest neighbours (Å) after each atom.
Space group C2/m (No. 12)
Unique sites:
Cd 0.1719 0.0000 0.1984 x4  3 Ga 2.90-3.04, 3 In 3.07-3.15, 1 Cd 3.08
In 0.0729 0.5000 0.3226 x4  1 Ga 3.00, 3 Cd 3.07-3.15, 2 Hg 3.18
Ga 0.2486 0.0000 0.9170 x4  2 Ga 2.74, 1 Hg 2.77, 3 Cd 2.90-3.04, 1 In 3.00
Hg 0.0000 0.0000 0.5000 x2  2 Ga 2.77

- Energy relative to the elements: 0.060 eV per atom



No. 3
# MgTl2Br2F2

Crystalline MgTl2Br2F2 at its relaxed geometry (PBE, Alexandria).

Cell lengths 4.4314, 4.4314, 17.0510 Å; angles 90.00, 90.00, 90.00 degrees
With the nearest neighbours (Å) after each atom.
Space group I4/mmm (No. 139)
Unique sites:
Mg 0.0000 0.0000 0.0000 x2  4 F 2.22
Tl 0.0000 0.0000 0.3765 x4  4 F 3.06, 4 Br 3.19
Br 0.0000 0.0000 0.1595 x4  1 Mg 2.72
F 0.0000 0.5000 0.0000 x4  2 Mg 2.22

- Formation energy (no corrections): -1806 meV/atom



No. 4
# Na6Hg5Au

Crystalline Na6Hg5Au at its relaxed geometry (PBE, Alexandria).

Cell lengths 5.1247, 7.6790, 15.4172 Å; angles 90.00, 90.00, 90.00 degrees
With the nearest neighbours (Å) after each atom.
Space group Immm (No. 71)
Unique sites:
Na 0.0000 0.2299 0.0000 x4  2 Au 3.11, 6 Hg 3.24-3.30
Na 0.0000 0.2599 0.3400 x8  1 Au 3.08, 7 Hg 3.17-3.27
Hg 0.0000 0.0000 0.1764 x4  8 Na 3.17-3.24, 2 Hg 3.54
Hg 0.0000 0.0000 0.5000 x2  8 Na 3.17-3.30
Hg 0.0000 0.5000 0.1650 x4  8 Na 3.25-3.28, 4 Hg 3.54-3.61
Au 0.0000 0.5000 0.5000 x2  8 Na 3.08-3.11

- Energy relative to the elements: -0.260 eV per atom



No. 5
# AgPI3

Crystalline AgPI3 at its relaxed geometry (PBE, Alexandria).

Cell lengths 4.7937, 8.7884, 11.5767 Å; angles 67.83, 79.88, 87.48 degrees
With the nearest neighbours (Å) after each atom.
Space group P-1 (No. 2)
Unique sites:
Ag 0.2482 0.1039 0.4845 x2  4 I 2.85-3.04, 2 Ag 2.95
P 0.2948 0.5053 0.0621 x2  1 P 2.24, 1 I 2.48
I 0.2983 0.8269 0.4064 x2  3 Ag 2.85-2.89
I 0.3056 0.8084 0.9951 x2  1 P 2.48
I 0.4930 0.4139 0.2650 x2  1 P 2.52

- Polymorph energy (0 for the lowest one): 0.000 eV per formula unit
- Formation energy (no corrections): -101 meV/atom



No. 6
# ZnCoRu2

Crystalline ZnCoRu2 at its relaxed geometry (PBE, Alexandria).

Cell lengths 2.7565, 4.5119, 8.7506 Å; angles 90.00, 90.00, 90.00 degrees
With the nearest neighbours (Å) after each atom.
Space group Cmm2 (No. 35)
Unique sites:
Zn 0.0000 0.0000 0.0000 x2  2 Co 2.52, 6 Zn 2.64-2.76, 2 Ru 2.65
Co 0.0000 0.5000 0.2413 x2  2 Zn 2.52, 2 Ru 2.53, 6 Co 2.64-2.76
Ru 0.0000 0.0000 0.4833 x2  2 Co 2.53, 8 Ru 2.64-2.76
Ru 0.0000 0.5000 0.7411 x2  8 Ru 2.64-2.76, 2 Zn 2.65

- Energy relative to the elements: 0.291 eV per atom



Number 1: Fermi-level density of states 47.08 states/eV/cell, energy -3.96 eV/atom. Number 2: Fermi-level density of states 5.28 states/eV/cell, energy -1.89 eV/atom. Number 3: Fermi-level density of states 0.00 states/eV/cell, energy -3.72 eV/atom. Number 4: Fermi-level density of states 7.46 states/eV/cell, energy -1.32 eV/atom. Number 5: Fermi-level density of states 0.00 states/eV/cell, energy -2.68 eV/atom. Number 6: Fermi-level density of states 9.67 states/eV/cell, energy -6.44 eV/atom.